No. 1
VASP calculation (PBEsol) on a geometry-optimized MnIr3 structure.

calculated formation energy: -125 meV/atom
final energy: -79.5 eV per cell

Cell: 4.2741 5.3700 5.3700 Å, 120.00 90.00 90.00°
Closest atoms and distances in Å follow each position.
Fractional positions:
Mn 0.7500 0.3333 0.6667  12 Ir 2.63-2.69
Mn 0.2500 0.6667 0.3333  12 Ir 2.63-2.69
Ir 0.2500 0.6616 0.8308  4 Mn 2.63-2.69, 8 Ir 2.64-2.73
Ir 0.2500 0.1692 0.3384  4 Mn 2.63-2.69, 8 Ir 2.64-2.73
Ir 0.2500 0.1692 0.8308  4 Mn 2.63-2.69, 8 Ir 2.64-2.73
Ir 0.7500 0.3384 0.1692  4 Mn 2.63-2.69, 8 Ir 2.64-2.73
Ir 0.7500 0.8308 0.6616  4 Mn 2.63-2.69, 8 Ir 2.64-2.73
Ir 0.7500 0.8308 0.1692  4 Mn 2.63-2.69, 8 Ir 2.64-2.73


No. 2
VASP calculation (PBEsol) on a geometry-optimized Mn3Ir structure.

calculated formation energy: -7 meV/atom
final energy: -39.1 eV per cell

Cell: 2.5658 4.3758 4.3782 Å, 100.11 90.00 107.05°
Closest atoms and distances in Å follow each position.
Fractional positions:
Ir 0.0000 0.0000 0.0000  10 Mn 2.54-2.56, 2 Ir 2.57
Mn 0.7528 0.5055 0.2666  9 Mn 2.42-2.66, 3 Ir 2.56
Mn 0.5000 0.0000 0.5000  8 Mn 2.49-2.57, 4 Ir 2.54
Mn 0.2472 0.4945 0.7334  9 Mn 2.42-2.66, 3 Ir 2.56


No. 3
VASP calculation (PBEsol) on a geometry-optimized MnIr4 structure.

calculated formation energy: -82 meV/atom
final energy: -49.5 eV per cell

Cell: 3.7825 4.6361 4.6361 Å, 80.42 65.92 65.92°
Closest atoms and distances in Å follow each position.
Fractional positions:
Ir 0.6012 0.1958 0.6018  9 Ir 2.66-2.72, 3 Mn 2.67-2.68
Ir 0.7970 0.6018 0.8042  9 Ir 2.66-2.72, 3 Mn 2.67-2.68
Ir 0.3988 0.8042 0.3982  9 Ir 2.66-2.72, 3 Mn 2.67-2.68
Ir 0.2030 0.3982 0.1958  9 Ir 2.66-2.72, 3 Mn 2.67-2.68
Mn 0.0000 0.0000 0.0000  12 Ir 2.67-2.68


No. 4
VASP calculation (PBEsol) on a geometry-optimized MnIr2 structure.

calculated formation energy: -128 meV/atom
final energy: -119.2 eV per cell

Cell: 4.2000 4.6168 7.9707 Å, 90.00 90.00 90.00°
Closest atoms and distances in Å follow each position.
Fractional positions:
Ir 0.7500 0.8426 0.8298  5 Mn 2.58-2.69, 7 Ir 2.60-2.75
Ir 0.7500 0.8291 0.4952  7 Ir 2.60-2.75, 5 Mn 2.61-2.66
Ir 0.2500 0.6709 0.9952  7 Ir 2.60-2.75, 5 Mn 2.61-2.66
Ir 0.2500 0.6574 0.3298  5 Mn 2.58-2.69, 7 Ir 2.60-2.75
Ir 0.7500 0.3426 0.6702  5 Mn 2.58-2.69, 7 Ir 2.60-2.75
Ir 0.7500 0.3291 0.0048  7 Ir 2.60-2.75, 5 Mn 2.61-2.66
Ir 0.2500 0.1709 0.5048  7 Ir 2.60-2.75, 5 Mn 2.61-2.66
Ir 0.2500 0.1574 0.1702  5 Mn 2.58-2.69, 7 Ir 2.60-2.75
Mn 0.7500 0.8312 0.1678  10 Ir 2.58-2.69, 2 Mn 2.65
Mn 0.2500 0.6688 0.6678  10 Ir 2.58-2.69, 2 Mn 2.65
Mn 0.7500 0.3312 0.3322  10 Ir 2.58-2.69, 2 Mn 2.65
Mn 0.2500 0.1688 0.8322  10 Ir 2.58-2.69, 2 Mn 2.65


No. 5
VASP calculation (PBEsol) on a geometry-optimized MnIr3 structure.

calculated formation energy: -73 meV/atom
final energy: -39.5 eV per cell

Cell: 2.6862 2.6862 8.4705 Å, 90.00 90.00 120.00°
Closest atoms and distances in Å follow each position.
Fractional positions:
Ir 0.3333 0.6667 0.2671  3 Mn 2.51, 9 Ir 2.69-2.74
Ir 0.3333 0.6667 0.7329  3 Mn 2.51, 9 Ir 2.69-2.74
Ir 0.0000 0.0000 0.0000  12 Ir 2.69-2.74
Mn 0.0000 0.0000 0.5000  6 Ir 2.51, 6 Mn 2.69


No. 6
VASP calculation (PBEsol) on a geometry-optimized Mn3Ir structure.

calculated formation energy: 9 meV/atom
final energy: -39.1 eV per cell

Cell: 2.5725 2.5725 7.9797 Å, 90.00 90.00 120.00°
Closest atoms and distances in Å follow each position.
Fractional positions:
Ir 0.0000 0.0000 0.0000  6 Mn 2.56, 6 Ir 2.57
Mn 0.0000 0.0000 0.5000  12 Mn 2.42-2.57
Mn 0.6667 0.3333 0.7388  9 Mn 2.42-2.57, 3 Ir 2.56
Mn 0.6667 0.3333 0.2612  9 Mn 2.42-2.57, 3 Ir 2.56


No. 7
VASP calculation (PBEsol) on a geometry-optimized MnIr structure.

calculated formation energy: -144 meV/atom
final energy: -39.7 eV per cell

Cell: 2.6342 4.4921 4.8529 Å, 116.33 105.75 90.00°
Closest atoms and distances in Å follow each position.
Fractional positions:
Ir 0.3797 0.2058 0.7594  7 Mn 2.55-2.63, 5 Ir 2.56-2.63
Ir 0.6203 0.7942 0.2406  7 Mn 2.55-2.63, 5 Ir 2.56-2.63
Mn 0.8696 0.7018 0.7392  5 Mn 2.51-2.66, 7 Ir 2.55-2.63
Mn 0.1304 0.2982 0.2608  5 Mn 2.51-2.66, 7 Ir 2.55-2.63


No. 8
VASP calculation (PBEsol) on a geometry-optimized MnIr3 structure.

calculated formation energy: -67 meV/atom
final energy: -39.5 eV per cell

Cell: 2.6792 3.7446 5.3487 Å, 90.00 90.00 90.00°
Closest atoms and distances in Å follow each position.
Fractional positions:
Ir 0.0000 0.0000 0.7564  8 Ir 2.61-2.74, 4 Mn 2.65
Ir 0.0000 0.0000 0.2436  8 Ir 2.61-2.74, 4 Mn 2.65
Ir 0.5000 0.5000 0.5000  2 Mn 2.67, 10 Ir 2.68
Mn 0.5000 0.5000 0.0000  10 Ir 2.65-2.67, 2 Mn 2.68


No. 9
VASP calculation (PBEsol) on a geometry-optimized MnIr structure.

calculated formation energy: -146 meV/atom
final energy: -59.6 eV per cell

Cell: 2.6331 4.8674 6.1495 Å, 103.53 90.00 105.69°
Closest atoms and distances in Å follow each position.
Fractional positions:
Ir 0.0105 0.0210 0.0002  6 Mn 2.49-2.62, 6 Ir 2.63-2.69
Ir 0.3856 0.7712 0.2780  7 Mn 2.55-2.62, 5 Ir 2.58-2.64
Ir 0.3265 0.6529 0.6659  7 Mn 2.47-2.62, 5 Ir 2.58-2.69
Mn 0.6642 0.3284 0.3373  5 Mn 2.53-2.63, 7 Ir 2.55-2.58
Mn 0.0558 0.1116 0.6088  6 Ir 2.47-2.62, 6 Mn 2.53-2.63
Mn 0.7241 0.4482 0.9431  7 Ir 2.49-2.62, 5 Mn 2.62-2.63


No. 10
VASP calculation (PBEsol) on a geometry-optimized MnIr3 structure.

calculated formation energy: -78 meV/atom
final energy: -39.5 eV per cell

Cell: 2.6990 4.6110 4.6110 Å, 109.16 90.00 90.00°
Closest atoms and distances in Å follow each position.
Fractional positions:
Ir 0.0000 0.0000 0.0000  10 Ir 2.67-2.70, 2 Mn 2.67
Ir 0.5000 0.0000 0.5000  8 Ir 2.67-2.70, 4 Mn 2.67
Ir 0.5000 0.5000 0.0000  4 Mn 2.67, 8 Ir 2.67-2.70
Mn 0.0000 0.5000 0.5000  10 Ir 2.67, 2 Mn 2.70


No. 11
VASP calculation (PBEsol) on a geometry-optimized MnIr3 structure.

calculated formation energy: -65 meV/atom
final energy: -39.5 eV per cell

Cell: 2.6860 4.6135 4.6238 Å, 100.06 106.89 90.00°
Closest atoms and distances in Å follow each position.
Fractional positions:
Ir 0.2473 0.2461 0.4945  3 Mn 2.64-2.69, 9 Ir 2.65-2.69
Ir 0.7527 0.7539 0.5055  3 Mn 2.64-2.69, 9 Ir 2.65-2.69
Ir 0.0000 0.5000 0.0000  8 Ir 2.66-2.69, 4 Mn 2.67
Mn 0.5000 0.0000 0.0000  10 Ir 2.64-2.69, 2 Mn 2.69


No. 12
VASP calculation (PBEsol) on a geometry-optimized MnIr5 structure.

calculated formation energy: -34 meV/atom
final energy: -59.1 eV per cell

Cell: 2.7122 4.3201 7.1304 Å, 90.00 100.96 90.00°
Closest atoms and distances in Å follow each position.
Fractional positions:
Ir 0.0026 0.0000 0.0052  2 Mn 2.63, 10 Ir 2.64-2.74
Ir 0.3327 0.0000 0.6655  12 Ir 2.68-2.74
Ir 0.6645 0.0000 0.3289  8 Ir 2.64-2.72, 4 Mn 2.66
Ir 0.4490 0.5000 0.8981  2 Mn 2.63, 10 Ir 2.66-2.80
Ir 0.7743 0.5000 0.5487  10 Ir 2.65-2.80, 2 Mn 2.67
Mn 0.1102 0.5000 0.2203  10 Ir 2.63-2.67, 2 Mn 2.71


No. 13
VASP calculation (PBEsol) on a geometry-optimized Mn3Ir structure.

calculated formation energy: -92 meV/atom
final energy: -39.5 eV per cell

Cell: 2.5747 4.0076 4.3925 Å, 90.00 90.00 90.00°
Closest atoms and distances in Å follow each position.
Fractional positions:
Ir 0.0000 0.0000 0.9990  10 Mn 2.51-2.55, 2 Ir 2.57
Mn 0.0000 0.5000 0.3483  10 Mn 2.44-2.65, 2 Ir 2.52
Mn 0.5000 0.0000 0.4992  8 Mn 2.45-2.57, 4 Ir 2.55
Mn 0.5000 0.5000 0.8202  8 Mn 2.44-2.65, 4 Ir 2.51


No. 14
VASP calculation (PBEsol) on a geometry-optimized MnIr3 structure.

calculated formation energy: -71 meV/atom
final energy: -39.5 eV per cell

Cell: 2.6971 4.2729 4.6413 Å, 90.00 90.00 90.00°
Closest atoms and distances in Å follow each position.
Fractional positions:
Ir 0.0000 0.0000 0.0050  2 Mn 2.61, 10 Ir 2.65-2.72
Ir 0.5000 0.0000 0.4960  4 Mn 2.64, 8 Ir 2.65-2.72
Ir 0.5000 0.5000 0.8362  8 Ir 2.65-2.70, 4 Mn 2.66-2.71
Mn 0.0000 0.5000 0.3296  10 Ir 2.61-2.71, 2 Mn 2.70


Let's list calculated volume in order: 13.34; 11.55; 13.55; 12.88; 13.23; 11.43; 12.26; 13.42; 12.27; 13.55; 13.48; 13.67; 11.33; 13.37 Å³ per atom.